Material: PmY2S
Method: DFT, PBE
State: relaxed

Geometry as CIF:
```
data_PmY2S
_space_group_name_H-M_alt 'P 1'
_space_group_IT_number 1
_cell_length_a 10.351
_cell_length_b 10.351
_cell_length_c 10.351
_cell_angle_alpha 20.52
_cell_angle_beta 20.52
_cell_angle_gamma 20.52
loop_
_space_group_symop_operation_xyz
'x,y,z'
loop_
_atom_site_label
_atom_site_type_symbol
_atom_site_fract_x
_atom_site_fract_y
_atom_site_fract_z
_atom_site_occupancy
Pm1 Pm 0.000 0.000 0.000 1
Y1 Y 0.113 0.113 0.113 1
Y2 Y 0.887 0.887 0.887 1
S1 S 0.500 0.500 0.500 1
```

Raw formation energy: -3.06 eV per formula unit
Spin magnetization: 0.36 Bohr magnetons per cell
Total DFT energy (no corrections): -6.217 eV/atom
Energy relative to the lowest polymorph listed for this composition: 197 meV per atom
Symmetry: R-3m, No. 166

---

Material: LaOs5
Method: DFT, PBE
State: relaxed

Geometry as CIF:
```
data_LaOs5
_space_group_name_H-M_alt 'P 1'
_space_group_IT_number 1
_cell_length_a 5.378
_cell_length_b 5.378
_cell_length_c 6.885
_cell_angle_alpha 93.53
_cell_angle_beta 93.53
_cell_angle_gamma 30.53
loop_
_space_group_symop_operation_xyz
'x,y,z'
loop_
_atom_site_label
_atom_site_type_symbol
_atom_site_fract_x
_atom_site_fract_y
_atom_site_fract_z
_atom_site_occupancy
La1 La 0.000 0.000 0.000 1
Os1 Os 0.247 0.247 0.682 1
Os2 Os 0.340 0.340 0.331 1
Os3 Os 0.630 0.630 0.375 1
Os4 Os 0.740 0.740 0.011 1
Os5 Os 0.975 0.975 0.589 1
```

Spin magnetization: 0.00 Bohr magnetons per cell
Total DFT energy (no corrections): -9.810 eV/atom
ΔE_f: 0.369 eV per atom
Symmetry: Cm, No. 8

---

Material: Ac4Au2N
Method: DFT, PBE
State: relaxed

Geometry as CIF:
```
data_Ac4Au2N
_space_group_name_H-M_alt 'P 1'
_space_group_IT_number 1
_cell_length_a 7.794
_cell_length_b 13.729
_cell_length_c 4.119
_cell_angle_alpha 90.00
_cell_angle_beta 90.00
_cell_angle_gamma 90.00
loop_
_space_group_symop_operation_xyz
'x,y,z'
loop_
_atom_site_label
_atom_site_type_symbol
_atom_site_fract_x
_atom_site_fract_y
_atom_site_fract_z
_atom_site_occupancy
Ac1 Ac 0.104 0.188 0.000 1
Ac2 Ac 0.230 0.958 0.500 1
Ac3 Ac 0.270 0.458 0.500 1
Ac4 Ac 0.396 0.688 0.000 1
Ac5 Ac 0.604 0.312 0.000 1
Ac6 Ac 0.730 0.542 0.500 1
Ac7 Ac 0.770 0.042 0.500 1
Ac8 Ac 0.896 0.812 0.000 1
Au1 Au 0.082 0.667 0.500 1
Au2 Au 0.418 0.167 0.500 1
Au3 Au 0.582 0.833 0.500 1
Au4 Au 0.918 0.333 0.500 1
N1 N 0.000 0.000 0.000 1
N2 N 0.500 0.500 0.000 1
```

Raw formation energy: -4.68 eV per formula unit
Spin magnetization: 3.19 Bohr magnetons per cell
Total DFT energy (no corrections): -5.141 eV/atom
Energy relative to the lowest polymorph listed for this composition: 114 meV per atom
Symmetry: Pbam, No. 55